The following is a GGA-PBE calculation of a relaxed structure of YGeBr2, from Alexandria via LeMat-Bulk.

The value obtained for the density of states at the Fermi level is 4.02 states/eV/f.u. Its polymorph energy (0 for the lowest one) is 68 kJ/mol of formula units. As for the spin magnetization: 0.0 μB/cell. The value obtained for the uncorrected formation energy is -0.315 eV per atom.

Lattice parameters (Å, degrees): 10.382 10.382 10.382 20.43 20.43 20.43
Sites, in units of the cell vectors:
Y: 0.000 0.000 0.000
Ge: 0.500 0.500 0.500
Br: 0.910 0.910 0.910
Br: 0.090 0.090 0.090